Compound: ReP2OF
Source: Alexandria via LeMat-Bulk
Functional: PBE-GGA
Structure: relaxed

Cell lengths 4.667, 4.667, 3.749 Å; angles 90.00, 90.00, 90.00 degrees
Fractional positions:
Re 0.000 0.000 0.000
P 0.000 0.500 0.000
P 0.500 0.000 0.000
O 0.000 0.000 0.500
F 0.500 0.500 0.500

* E_form (uncorrected): -254 meV per atom
* VASP energy: -6.273 eV/atom
* ΔE to the lowest computed polymorph: 0.0 meV per atom